(1)
LaEr2Mg: relaxed, PBE.

Results
- Relative energy among the computed polymorphs: 148 meV per atom
- Fermi-level density of states: 7.0 states/eV/f.u.

```
4
Lattice="0.000 3.931 3.931 3.931 0.000 3.931 3.931 3.931 0.000" Properties=species:S:1:pos:R:3 pbc="T T T"
La 0.000 0.000 0.000
Er 1.966 1.966 1.966
Er 5.897 5.897 5.897
Mg 3.931 3.931 3.931
```

---

(2)
AlTlO2: relaxed, PBE.

Results
- Relative energy among the computed polymorphs: 1084 meV per atom
- Fermi-level density of states: 0.6 states/eV/f.u.
- Energy relative to the elements, uncorrected: -1.04 eV/atom

```
4
Lattice="1.882 1.087 6.721 -1.882 1.087 6.721 0.000 -2.174 6.721" Properties=species:S:1:pos:R:3 pbc="T T T"
Al 0.000 0.000 0.000
Tl 0.000 0.000 10.082
O 0.000 0.000 1.645
O 0.000 0.000 18.518
```

---

(3)
Sb2TeCl: relaxed, PBE.

Results
- Relative energy among the computed polymorphs: 189 meV per atom
- Fermi-level density of states: 2.5 states/eV/f.u.
- Energy relative to the elements, uncorrected: 0.03 eV/atom

```
8
Lattice="-4.138 4.138 3.440 4.138 -4.138 3.440 4.138 4.138 -3.440" Properties=species:S:1:pos:R:3 pbc="T T T"
Sb 6.208 2.037 -0.860
Sb 2.037 2.069 0.860
Sb -2.069 2.101 2.580
Sb 2.101 2.069 4.300
Te 0.000 0.000 0.000
Te 0.000 4.138 1.720
Cl 4.138 0.000 1.720
Cl 0.000 0.000 3.440
```

---

(4)
BeIn2Cl: relaxed, PBE.

Results
- Relative energy among the computed polymorphs: 188 meV per atom
- Fermi-level density of states: 1.0 states/eV/f.u.
- Energy relative to the elements, uncorrected: 0.06 eV/atom

```
4
Lattice="3.373 0.000 0.000 0.000 3.375 0.000 -0.034 0.000 7.767" Properties=species:S:1:pos:R:3 pbc="T T T"
Be 0.000 0.000 0.000
In 1.654 1.688 6.212
In 1.686 1.688 1.555
Cl 1.670 0.000 3.883
```